No. 1
# Pm2SmI (PBE, relaxed)
data_Pm2SmI
_chemical_formula_sum 'Pm6 Sm3 I3'
_cell_length_a 3.8288
_cell_length_b 3.8288
_cell_length_c 32.2163
_cell_angle_alpha 90.00
_cell_angle_beta 90.00
_cell_angle_gamma 120.00
_symmetry_space_group_name_H-M 'R 3 m'
_symmetry_Int_Tables_number 160
_symmetry_space_group_name_Hall 'R 3 -2"'
loop_
_atom_site_label
_atom_site_fract_x
_atom_site_fract_y
_atom_site_fract_z
_atom_site_occupancy
Pm1 0.0000 0.0000 0.0000 1
Pm2 0.0000 0.0000 0.1773 1
Sm1 0.0000 0.0000 0.7557 1
I1 0.0000 0.0000 0.5889 1
# - DOS at the Fermi energy: 6.1 states/eV/f.u.
# - Magnetization: 0.39 μB/f.u.
# - Energy relative to the elements, uncorrected: -0.375 eV per atom

***

No. 2
# UZnP2 (PBE, relaxed)
data_UZnP2
_chemical_formula_sum 'U3 Zn3 P6'
_cell_length_a 4.1789
_cell_length_b 4.1789
_cell_length_c 21.5304
_cell_angle_alpha 90.00
_cell_angle_beta 90.00
_cell_angle_gamma 120.00
_symmetry_space_group_name_H-M 'R -3 m'
_symmetry_Int_Tables_number 166
_symmetry_space_group_name_Hall '-R 3 2"'
loop_
_atom_site_label
_atom_site_fract_x
_atom_site_fract_y
_atom_site_fract_z
_atom_site_occupancy
U1 0.0000 0.0000 0.0000 1
Zn1 0.0000 0.0000 0.5000 1
P1 0.0000 0.0000 0.3965 1
# - DOS at the Fermi energy: 4.1 states/eV/f.u.
# - Magnetization: 2.00 μB/f.u.
# - Formation energy: -5.45 kcal/mol of atoms

***

No. 3
# NaVIn2Cu (PBE, relaxed)
data_NaVIn2Cu
_chemical_formula_sum 'Na1 V1 In2 Cu1'
_cell_length_a 5.140
_cell_length_b 5.140
_cell_length_c 4.837
_cell_angle_alpha 90.00
_cell_angle_beta 90.00
_cell_angle_gamma 90.00
_symmetry_space_group_name_H-M 'P 4/m m m'
_symmetry_Int_Tables_number 123
_symmetry_space_group_name_Hall '-P 4 2'
loop_
_atom_site_label
_atom_site_fract_x
_atom_site_fract_y
_atom_site_fract_z
_atom_site_occupancy
Na1 0.000 0.000 0.000 1
V1 0.000 0.000 0.500 1
In1 0.000 0.500 0.000 1
Cu1 0.500 0.500 0.500 1
# - DOS at the Fermi energy: 7.4 states/eV/f.u.
# - Magnetization: 0.16 μB/f.u.
# - Formation energy: 36.16 kcal/mol of atoms

***

No. 4
# TiPd3F (PBE, relaxed)
data_TiPd3F
_chemical_formula_sum 'Ti1 Pd3 F1'
_cell_length_a 4.669
_cell_length_b 4.669
_cell_length_c 4.669
_cell_angle_alpha 90.00
_cell_angle_beta 90.00
_cell_angle_gamma 90.00
_symmetry_space_group_name_H-M 'P m -3 m'
_symmetry_Int_Tables_number 221
_symmetry_space_group_name_Hall '-P 4 2 3'
loop_
_atom_site_label
_atom_site_fract_x
_atom_site_fract_y
_atom_site_fract_z
_atom_site_occupancy
Ti1 0.000 0.000 0.000 1
Pd1 0.000 0.000 0.500 1
F1 0.500 0.500 0.500 1
# - DOS at the Fermi energy: 2.7 states/eV/f.u.
# - Magnetization: 0.00 μB/f.u.
# - Energy relative to the elements, uncorrected: 0.385 eV per atom

***

No. 5
# Sm2NpReN5 (PBE, relaxed)
data_Sm2NpReN5
_chemical_formula_sum 'Sm8 Np4 Re4 N20'
_cell_length_a 6.667
_cell_length_b 6.667
_cell_length_c 11.485
_cell_angle_alpha 90.00
_cell_angle_beta 90.00
_cell_angle_gamma 90.00
_symmetry_space_group_name_H-M 'I 4/m c m'
_symmetry_Int_Tables_number 140
_symmetry_space_group_name_Hall '-I 4 2c'
loop_
_atom_site_label
_atom_site_fract_x
_atom_site_fract_y
_atom_site_fract_z
_atom_site_occupancy
Sm1 0.172 0.328 0.000 1
Np1 0.000 0.000 0.250 1
Re1 0.000 0.500 0.250 1
N1 0.000 0.000 0.000 1
N2 0.152 0.348 0.352 1
# - DOS at the Fermi energy: 11.4 states/eV/f.u.
# - Magnetization: 4.12 μB/f.u.
# - Energy relative to the elements, uncorrected: -0.844 eV per atom

***

No. 6
# PmPuPdO6 (PBE, relaxed)
data_PmPuPdO6
_chemical_formula_sum 'Pm2 Pu2 Pd2 O12'
_cell_length_a 5.3745
_cell_length_b 5.3745
_cell_length_c 10.3834
_cell_angle_alpha 90.00
_cell_angle_beta 90.00
_cell_angle_gamma 120.00
_symmetry_space_group_name_H-M 'P -3 1 c'
_symmetry_Int_Tables_number 163
_symmetry_space_group_name_Hall '-P 3 2c'
loop_
_atom_site_label
_atom_site_fract_x
_atom_site_fract_y
_atom_site_fract_z
_atom_site_occupancy
Pm1 0.0000 0.0000 0.0000 1
Pu1 0.3333 0.6667 0.2500 1
Pd1 0.3333 0.6667 0.7500 1
O1 0.0037 0.3540 0.6385 1
# - DOS at the Fermi energy: 6.1 states/eV/f.u.
# - Magnetization: 3.02 μB/f.u.
# - Energy relative to the elements, uncorrected: -2.159 eV per atom

***

No. 7
# FeMo2 (PBE, relaxed)
data_FeMo2
_chemical_formula_sum 'Fe4 Mo8'
_cell_length_a 3.172
_cell_length_b 4.274
_cell_length_c 12.809
_cell_angle_alpha 90.00
_cell_angle_beta 90.00
_cell_angle_gamma 90.00
_symmetry_space_group_name_H-M 'F m m m'
_symmetry_Int_Tables_number 69
_symmetry_space_group_name_Hall '-F 2 2'
loop_
_atom_site_label
_atom_site_fract_x
_atom_site_fract_y
_atom_site_fract_z
_atom_site_occupancy
Fe1 0.000 0.000 0.000 1
Mo1 0.000 0.000 0.339 1
# - DOS at the Fermi energy: 1.9 states/eV/f.u.
# - Magnetization: 1.88 μB/f.u.
# - Formation energy: 1.73 kcal/mol of atoms

***

No. 8
# AlV2Ni6 (PBE, relaxed)
data_AlV2Ni6
_chemical_formula_sum 'Al2 V4 Ni12'
_cell_length_a 3.737
_cell_length_b 4.972
_cell_length_c 12.342
_cell_angle_alpha 90.00
_cell_angle_beta 90.00
_cell_angle_gamma 90.00
_symmetry_space_group_name_H-M 'I m m m'
_symmetry_Int_Tables_number 71
_symmetry_space_group_name_Hall '-I 2 2'
loop_
_atom_site_label
_atom_site_fract_x
_atom_site_fract_y
_atom_site_fract_z
_atom_site_occupancy
Al1 0.000 0.000 0.000 1
V1 0.000 0.500 0.117 1
Ni1 0.000 0.231 0.500 1
Ni2 0.000 0.267 0.309 1
# - DOS at the Fermi energy: 8.1 states/eV/f.u.
# - Magnetization: 0.00 μB/f.u.
# - Formation energy: 1.08 kcal/mol of atoms